Arrangement A

Mg2Cd2Ag PBE-GGA optimized geometry; space group = No. 139; spin magnetization = 0.00 μB per formula unit; theoretical density = 5.499 g/cm3
1.0
-2.007 2.007 7.147
2.007 -2.007 7.147
2.007 2.007 -7.147
Mg Cd Ag
2 2 1
direct
0.250 0.750 0.500 Mg
0.750 0.250 0.500 Mg
0.097 0.097 0.000 Cd
0.903 0.903 0.000 Cd
0.500 0.500 0.000 Ag

Arrangement B

Mg2Cd2Ag PBE-GGA optimized geometry; space group = No. 127; spin magnetization = 0.00 μB per formula unit; theoretical density = 5.809 g/cm3
1.0
7.509 0.000 0.000
0.000 7.509 0.000
0.000 0.000 3.866
Mg Cd Ag
4 4 2
direct
0.164 0.336 0.000 Mg
0.336 0.836 0.000 Mg
0.664 0.164 0.000 Mg
0.836 0.664 0.000 Mg
0.138 0.638 0.500 Cd
0.362 0.138 0.500 Cd
0.638 0.862 0.500 Cd
0.862 0.362 0.500 Cd
0.000 0.000 0.500 Ag
0.500 0.500 0.500 Ag

Arrangement C

Mg2Cd2Ag PBE-GGA optimized geometry; space group = No. 15; spin magnetization = 0.00 μB per formula unit; theoretical density = 5.915 g/cm3
1.0
4.226 -3.636 0.000
4.226 3.636 0.000
-2.891 0.000 6.966
Mg Cd Ag
4 4 2
direct
0.138 0.300 0.349 Mg
0.300 0.138 0.849 Mg
0.700 0.862 0.151 Mg
0.862 0.700 0.651 Mg
0.168 0.731 0.043 Cd
0.269 0.832 0.457 Cd
0.731 0.168 0.543 Cd
0.832 0.269 0.957 Cd
0.424 0.576 0.750 Ag
0.576 0.424 0.250 Ag

Which of them is most stable, and which least? Most stable: arrangement C; least stable: arrangement A.